[1]
! TbSmHoZr | Alexandria | PBE | relaxed; values from VASP
&SYSTEM
  ibrav = 0, nat = 4, ntyp = 4
/
ATOMIC_SPECIES
Zr 91.22 Zr.upf
Tb 158.93 Tb.upf
Ho 164.93 Ho.upf
Sm 150.36 Sm.upf
ATOMIC_POSITIONS angstrom
Zr 2.758 1.592 1.126
Tb 5.516 3.185 2.252
Ho 0.000 0.000 0.000
Sm 8.274 4.777 3.378
CELL_PARAMETERS angstrom
5.516 0.000 0.000
2.758 4.777 0.000
2.758 1.592 4.504
! Space-group type: F-43m (216)
! ρ (g cm⁻³): 7.9
! N(E_F) (states/eV/cell): 7.83
! Formation energy (eV/atom): 0.23

***

[2]
! As3RuS | Alexandria | PBE | relaxed; values from VASP
&SYSTEM
  ibrav = 0, nat = 5, ntyp = 3
/
ATOMIC_SPECIES
Ru 101.07 Ru.upf
As 74.92 As.upf
S 32.06 S.upf
ATOMIC_POSITIONS angstrom
Ru 0.000 0.000 0.000
As -1.602 -0.557 1.670
As 0.694 1.875 1.291
As -1.618 1.356 -1.100
S -2.526 2.675 1.861
CELL_PARAMETERS angstrom
-3.236 2.712 -2.200
-3.205 -1.114 3.340
1.388 3.751 2.583
! Space-group type: Pm-3m (221)
! ρ (g cm⁻³): 5.5
! Energy relative to the elements, uncorrected (eV per atom): 0.599
! N(E_F) (states/eV/cell): 5.81

***

[3]
! Pu2InOs | Alexandria | PBE | relaxed; values from VASP
&SYSTEM
  ibrav = 0, nat = 4, ntyp = 3
/
ATOMIC_SPECIES
In 114.82 In.upf
Os 190.23 Os.upf
Pu 244.00 Pu.upf
ATOMIC_POSITIONS angstrom
In 1.760 -1.370 3.100
Os -0.455 0.584 2.052
Pu 2.167 0.174 0.431
Pu 0.048 -2.128 0.616
CELL_PARAMETERS angstrom
-0.911 1.168 4.105
0.096 -4.256 1.233
4.334 0.348 0.862
! Space-group type: P4/mmm (123)
! ρ (g cm⁻³): 15.4
! N(E_F) (states/eV/cell): 10.98
! Formation energy (eV/atom): 0.08

***

[4]
! Li2CdCo | Alexandria | PBE | relaxed; values from VASP
&SYSTEM
  ibrav = 0, nat = 4, ntyp = 3
/
ATOMIC_SPECIES
Cd 112.41 Cd.upf
Co 58.93 Co.upf
Li 6.94 Li.upf
ATOMIC_POSITIONS angstrom
Cd 0.353 0.032 2.687
Co -1.290 -2.035 2.130
Li 0.000 0.000 0.000
Li -2.450 0.194 1.116
CELL_PARAMETERS angstrom
-0.807 2.262 1.672
-4.092 -1.874 0.560
1.512 -2.197 3.701
! Space-group type: Pmmm (47)
! ρ (g cm⁻³): 5.1
! N(E_F) (states/eV/cell): 1.81
! Formation energy (eV/atom): 0.12

***

[5]
! BaSr2Sn | Alexandria | PBE | relaxed; values from VASP
&SYSTEM
  ibrav = 0, nat = 4, ntyp = 3
/
ATOMIC_SPECIES
Ba 137.33 Ba.upf
Sr 87.62 Sr.upf
Sn 118.71 Sn.upf
ATOMIC_POSITIONS angstrom
Ba 5.633 3.252 3.556
Sr 2.817 1.626 5.934
Sr 2.817 1.626 1.115
Sn 8.450 4.878 6.849
CELL_PARAMETERS angstrom
5.633 0.000 0.000
2.817 4.878 0.000
2.817 1.626 6.981
! Space-group type: R3m (160)
! ρ (g cm⁻³): 3.7
! N(E_F) (states/eV/cell): 2.58
! Formation energy (eV/atom): -0.30

***

[6]
! ErTh3Hg4 | Alexandria | PBE | relaxed; values from VASP
&SYSTEM
  ibrav = 0, nat = 8, ntyp = 3
/
ATOMIC_SPECIES
Hg 200.59 Hg.upf
Th 232.04 Th.upf
Er 167.26 Er.upf
ATOMIC_POSITIONS angstrom
Hg 9.069 8.853 9.388
Hg 1.161 1.133 1.202
Hg 3.803 3.712 3.936
Hg 6.428 6.275 6.654
Th 0.480 3.358 3.631
Th 3.110 5.925 6.353
Th 5.740 8.492 9.075
Er -2.005 0.932 1.058
CELL_PARAMETERS angstrom
-2.044 2.734 -0.604
-1.966 -0.870 2.719
10.230 9.986 10.590
! Space-group type: P4/mmm (123)
! ρ (g cm⁻³): 12.9
! N(E_F) (states/eV/cell): 8.33
! Formation energy (eV/atom): -0.28

***

[7]
! NaCu2F7 | Alexandria | PBE | relaxed; values from VASP
&SYSTEM
  ibrav = 0, nat = 10, ntyp = 3
/
ATOMIC_SPECIES
Na 22.99 Na.upf
Cu 63.55 Cu.upf
F 19.00 F.upf
ATOMIC_POSITIONS angstrom
Na 0.000 0.000 0.000
Cu 1.878 3.208 1.551
Cu 1.878 -0.023 3.563
F 0.000 3.292 1.499
F 0.000 -0.107 3.615
F 1.878 -0.790 1.854
F 1.878 3.974 3.260
F 1.878 2.013 0.109
F 1.878 1.172 5.005
F 1.878 1.592 2.557
CELL_PARAMETERS angstrom
3.756 0.000 0.000
0.000 6.393 -0.432
0.000 -3.208 5.547
! Space-group type: Cmmm (65)
! ρ (g cm⁻³): 3.7
! Energy relative to the elements, uncorrected (eV per atom): -1.554
! N(E_F) (states/eV/cell): 2.54

***

[8]
! K2Al | Alexandria | PBE | relaxed; values from VASP
&SYSTEM
  ibrav = 0, nat = 6, ntyp = 2
/
ATOMIC_SPECIES
K 39.10 K.upf
Al 26.98 Al.upf
ATOMIC_POSITIONS angstrom
K 0.000 0.000 19.639
K 2.012 0.000 6.471
K 0.000 0.000 15.174
K 2.012 0.000 10.936
Al 0.000 0.000 0.000
Al 0.000 2.012 8.703
CELL_PARAMETERS angstrom
-2.012 2.012 17.406
2.012 -2.012 17.406
2.012 2.012 -17.406
! Space-group type: I4_1/amd (141)
! ρ (g cm⁻³): 1.2
! N(E_F) (states/eV/cell): 5.59
! Formation energy (eV/atom): 0.37

***

[9]
! Pm2Er3Tm | Alexandria | PBE | relaxed; values from VASP
&SYSTEM
  ibrav = 0, nat = 12, ntyp = 3
/
ATOMIC_SPECIES
Pm 145.00 Pm.upf
Er 167.26 Er.upf
Tm 168.93 Tm.upf
ATOMIC_POSITIONS angstrom
Pm 11.630 -7.083 -9.665
Pm 5.273 -2.544 -4.969
Pm 7.987 -4.798 -5.416
Pm 8.917 -4.829 -9.218
Er 15.903 -5.888 -13.851
Er 1.000 -3.740 -0.784
Er 14.838 -7.597 -10.970
Er 2.066 -2.030 -3.664
Er 4.226 -4.260 -2.000
Er 12.677 -5.367 -12.634
Tm 11.253 -5.328 -6.560
Tm 5.651 -4.300 -8.074
CELL_PARAMETERS angstrom
-0.607 -3.483 -0.119
5.126 -2.336 -10.296
12.384 -3.809 -4.219
! Space-group type: C2/m (12)
! ρ (g cm⁻³): 8.3
! N(E_F) (states/eV/cell): 17.20
! Formation energy (eV/atom): 0.05

***

[10]
! Hf4IrO | Alexandria | PBE | relaxed; values from VASP
&SYSTEM
  ibrav = 0, nat = 12, ntyp = 3
/
ATOMIC_SPECIES
Hf 178.49 Hf.upf
Ir 192.22 Ir.upf
O 16.00 O.upf
ATOMIC_POSITIONS angstrom
Hf 3.703 -2.685 4.974
Hf 0.168 1.437 5.470
Hf 1.831 0.686 2.841
Hf 4.695 2.646 3.330
Hf 1.505 3.728 3.334
Hf 5.040 -0.394 2.838
Hf 3.377 0.357 5.468
Hf 0.513 -1.602 4.979
Ir 0.000 0.000 0.000
Ir 2.995 -1.888 2.601
O -0.433 0.239 3.828
O 2.647 2.692 1.879
CELL_PARAMETERS angstrom
-0.085 -4.341 4.550
6.075 0.564 0.652
-0.781 4.820 3.106
! Space-group type: P2_1/c (14)
! ρ (g cm⁻³): 14.0
! Energy relative to the elements, uncorrected (eV per atom): -1.017
! N(E_F) (states/eV/cell): 7.96

***

[11]
! FeCo2Tc | Alexandria | PBE | relaxed; values from VASP
&SYSTEM
  ibrav = 0, nat = 4, ntyp = 3
/
ATOMIC_SPECIES
Co 58.93 Co.upf
Fe 55.84 Fe.upf
Tc 98.00 Tc.upf
ATOMIC_POSITIONS angstrom
Co 1.551 -1.413 1.503
Co 3.558 -0.353 0.456
Fe 1.756 1.113 1.465
Tc 5.332 0.768 1.914
CELL_PARAMETERS angstrom
-0.063 2.571 2.482
1.533 -1.421 1.511
5.619 0.731 -0.614
! Space-group type: Pmmm (47)
! ρ (g cm⁻³): 9.6
! N(E_F) (states/eV/cell): 3.92
! Formation energy (eV/atom): 0.06

***

[12]
! LiMgPaIn | Alexandria | PBE | relaxed; values from VASP
&SYSTEM
  ibrav = 0, nat = 4, ntyp = 4
/
ATOMIC_SPECIES
Mg 24.30 Mg.upf
Pa 231.04 Pa.upf
Li 6.94 Li.upf
In 114.82 In.upf
ATOMIC_POSITIONS angstrom
Mg 0.000 0.000 0.000
Pa 5.084 2.935 2.076
Li 2.542 1.468 1.038
In 7.626 4.403 3.113
CELL_PARAMETERS angstrom
5.084 0.000 0.000
2.542 4.403 0.000
2.542 1.468 4.151
! Space-group type: F-43m (216)
! ρ (g cm⁻³): 6.7
! N(E_F) (states/eV/cell): 6.72
! Formation energy (eV/atom): 0.21